[1]
First-principles (PBE with a Hubbard U) data for a relaxed structure of CoCuAu2O6, as listed in the Alexandria database.

Unit cell a=9.9042 b=9.5013 c=4.9326 alpha=90.00 beta=91.33 gamma=90.00
Space group C2/c (No. 15)
Asymmetric unit:
Co1 0.0000 0.0865 0.2500 x4
Cu1 0.0000 0.4042 0.7500 x4
Au1 0.2472 0.1524 0.7408 x8
O1 0.1059 0.2393 0.4692 x8
O2 0.1065 0.0462 0.9445 x8
O3 0.1137 0.4466 0.0377 x8


[2]
First-principles (PBE with a Hubbard U) data for a relaxed structure of CoCuAu2O8, as listed in the Alexandria database.

Unit cell a=6.2455 b=6.2455 c=7.1318 alpha=90.00 beta=90.00 gamma=90.00
Space group I-4m2 (No. 119)
Asymmetric unit:
Co1 0.0000 0.0000 0.0000 x2
Cu1 0.0000 0.5000 0.7500 x2
Au1 0.0000 0.0000 0.5000 x2
Au2 0.0000 0.5000 0.2500 x2
O1 0.0000 0.1881 0.7299 x8
O2 0.0000 0.3030 0.0321 x8


Which DFT total energy belongs to each record? In order, -4.79 -4.32 eV per atom.